(a)
Below is a geometry-optimized BeCdPt3 structure, with properties calculated at the PBE-GGA level.

The structure in CIF format:
```
data_BeCdPt3
_space_group_name_H-M_alt 'P 1 2/m 1'
_space_group_IT_number 10
_space_group_name_Hall '-P 2y'
_cell_length_a 7.578
_cell_length_b 2.832
_cell_length_c 7.655
_cell_angle_alpha 90.00
_cell_angle_beta 108.11
_cell_angle_gamma 90.00
loop_
_atom_site_label
_atom_site_type_symbol
_atom_site_fract_x
_atom_site_fract_y
_atom_site_fract_z
Be1 Be 0.047 0.000 0.371
Cd1 Cd 0.500 0.000 0.500
Cd2 Cd 0.500 0.500 0.000
Pt1 Pt 0.165 0.000 0.920
Pt2 Pt 0.211 0.500 0.238
Pt3 Pt 0.211 0.500 0.615
```

## Properties
**Total magnetic moment**: 0.00 μB per atom
**DOS(E_F)**: 2.03 states/eV/f.u.
**Crystal system**: monoclinic

=====

(b)
Below is a geometry-optimized BeCdPt3 structure, with properties calculated at the PBE-GGA level.

The structure in CIF format:
```
data_BeCdPt3
_space_group_name_H-M_alt 'P 1 21/c 1'
_space_group_IT_number 14
_space_group_name_Hall '-P 2ybc'
_cell_length_a 7.568
_cell_length_b 4.736
_cell_length_c 8.833
_cell_angle_alpha 90.00
_cell_angle_beta 102.05
_cell_angle_gamma 90.00
loop_
_atom_site_label
_atom_site_type_symbol
_atom_site_fract_x
_atom_site_fract_y
_atom_site_fract_z
Be1 Be 0.076 0.147 0.429
Cd1 Cd 0.389 0.513 0.846
Pt1 Pt 0.023 0.088 0.164
Pt2 Pt 0.233 0.553 0.147
Pt3 Pt 0.330 0.042 0.022
```

## Properties
**Total magnetic moment**: 0.00 μB per atom
**DOS(E_F)**: 2.79 states/eV/f.u.
**Crystal system**: monoclinic

=====

The structure shown above that is most stable: (a).